An optimized crystal structure of GaAgBrCl2, computed with PBE-GGA.

Its space group is No. 123. As for the energy relative to the elements, uncorrected: -0.383 eV per atom. As for the crystal system: tetragonal. For the calculated density, the calculation gives 4.0 Mg/m³.

```
GaAgBrCl2
1.0
5.0540 0.0000 0.0000
0.0000 5.0540 0.0000
0.0000 0.0000 5.4004
Ga Ag Br Cl
1 1 1 2
direct
0.0000 0.0000 0.0000 Ga
0.5000 0.5000 0.5000 Ag
0.5000 0.5000 0.0000 Br
0.0000 0.5000 0.5000 Cl
0.5000 0.0000 0.5000 Cl
```